(1)
Entry from the Alexandria database: an optimized crystal structure of HfTlSn (GGA-PBE).

Properties
Total magnetization: 0.00 μB per formula unit
Energy of formation from the pure elements: 103 meV per atom
Fermi-level density of states: 2.07 states/eV/f.u.
Raw total energy: -0.1961 hartree per atom

a = 11.3493 Å, b = 3.3494 Å, c = 9.4011 Å
α = 90.00°, β = 123.29°, γ = 90.00°
With the nearest neighbours (Å) after each atom.
Space group C2/m (No. 12)
Asymmetric unit:
Hf  0.0142  0.0000  0.1759  5 Sn 3.10-3.15, 3 Hf 3.14-3.35, 3 Tl 3.17-3.37
Tl  0.1390  0.5000  0.5154  5 Tl 3.01-3.35, 2 Hf 3.17, 2 Sn 3.24
Sn  0.2232  0.5000  0.1327  5 Hf 3.10-3.15, 2 Tl 3.24, 4 Sn 3.33-3.35



(2)
Entry from the Alexandria database: an optimized crystal structure of Hf4TlSn (GGA-PBE).

Properties
Total magnetization: 0.00 μB per formula unit
Energy of formation from the pure elements: 100 meV per atom
Fermi-level density of states: 7.88 states/eV/f.u.
Raw total energy: -0.2792 hartree per atom

a = 9.5901 Å, b = 5.3402 Å, c = 6.2744 Å
α = 90.00°, β = 121.62°, γ = 90.00°
With the nearest neighbours (Å) after each atom.
Space group C2/m (No. 12)
Asymmetric unit:
Hf  0.1552  0.0000  0.9999  6 Hf 2.98-3.23, 3 Tl 3.06-3.31, 1 Sn 3.15
Hf  0.1566  0.0000  0.5026  6 Hf 2.99-3.23, 3 Sn 3.06-3.30, 1 Tl 3.13
Tl  0.0000  0.5000  0.0000  8 Hf 3.06-3.31, 2 Sn 3.14
Sn  0.0000  0.5000  0.5000  8 Hf 3.06-3.30, 2 Tl 3.14



(3)
Entry from the Alexandria database: an optimized crystal structure of Hf8Tl2Sn (GGA-PBE).

Properties
Total magnetization: 0.00 μB per formula unit
Energy of formation from the pure elements: 148 meV per atom
Fermi-level density of states: 9.53 states/eV/f.u.
Raw total energy: -0.2898 hartree per atom

a = 7.7599 Å, b = 13.6321 Å, c = 5.3386 Å
α = 90.00°, β = 115.24°, γ = 90.00°
With the nearest neighbours (Å) after each atom.
Space group C2/m (No. 12)
Asymmetric unit:
Hf  0.0000  0.2182  0.0000  2 Tl 2.92, 1 Sn 2.97, 4 Hf 3.23
Hf  0.0873  0.5000  0.7960  6 Hf 2.86-3.11, 1 Sn 2.91, 2 Tl 3.01
Hf  0.2072  0.1091  0.6649  6 Hf 2.93-3.23, 2 Tl 3.00-3.05, 1 Sn 3.23
Tl  0.0000  0.3054  0.5000  8 Hf 2.92-3.05
Sn  0.0000  0.0000  0.0000  8 Hf 2.91-3.23



(4)
Entry from the Alexandria database: an optimized crystal structure of Hf3TlSn (GGA-PBE).

Properties
Total magnetization: 0.00 μB per formula unit
Energy of formation from the pure elements: 203 meV per atom
Fermi-level density of states: 4.32 states/eV/f.u.
Raw total energy: -0.2588 hartree per atom

a = 9.1080 Å, b = 8.3360 Å, c = 6.3625 Å
α = 90.00°, β = 90.00°, γ = 90.00°
With the nearest neighbours (Å) after each atom.
Space group Ama2 (No. 40)
Asymmetric unit:
Hf  0.0780  0.1656  0.0000  2 Sn 2.93-3.03, 4 Hf 3.06-3.13, 2 Tl 3.10-3.12
Hf  0.2500  0.4502  0.1975  2 Tl 2.95-3.17, 2 Sn 2.96, 4 Hf 3.06-3.11
Tl  0.2500  0.3267  0.6320  6 Hf 2.95-3.17, 2 Sn 3.22
Sn  0.0000  0.0000  0.4082  6 Hf 2.93-3.03, 2 Tl 3.22



(5)
Entry from the Alexandria database: an optimized crystal structure of HfTl2Sn (GGA-PBE).

Properties
Total magnetization: 0.00 μB per formula unit
Energy of formation from the pure elements: 346 meV per atom
Fermi-level density of states: 3.31 states/eV/f.u.
Raw total energy: -0.1590 hartree per atom

a = 3.2786 Å, b = 3.2786 Å, c = 35.8519 Å
α = 90.00°, β = 90.00°, γ = 120.00°
With the nearest neighbours (Å) after each atom.
Space group R-3m (No. 166, hexagonal axes)
Asymmetric unit:
Hf  0.0000  0.0000  0.0000  2 Tl 3.00, 6 Hf 3.28
Tl  0.0000  0.0000  0.0836  1 Hf 3.00, 6 Tl 3.28
Sn  0.0000  0.0000  0.5000  6 Sn 3.28, 6 Tl 3.53



(6)
Entry from the Alexandria database: an optimized crystal structure of HfTl2Sn (GGA-PBE).

Properties
Total magnetization: 0.00 μB per formula unit
Energy of formation from the pure elements: 444 meV per atom
Fermi-level density of states: 3.61 states/eV/f.u.
Raw total energy: -0.1554 hartree per atom

a = 7.4872 Å, b = 7.4872 Å, c = 7.4872 Å
α = 90.00°, β = 90.00°, γ = 90.00°
With the nearest neighbours (Å) after each atom.
Space group Fm-3m (No. 225)
Asymmetric unit:
Hf  0.0000  0.0000  0.0000  8 Tl 3.24
Tl  0.2500  0.2500  0.2500  4 Hf 3.24, 4 Sn 3.24
Sn  0.0000  0.0000  0.5000  8 Tl 3.24



(7)
Entry from the Alexandria database: an optimized crystal structure of Hf7TlSn2 (GGA-PBE).

Properties
Total magnetization: 0.00 μB per formula unit
Energy of formation from the pure elements: 640 meV per atom
Fermi-level density of states: 12.76 states/eV/f.u.
Raw total energy: -0.2707 hartree per atom

a = 7.9722 Å, b = 14.1133 Å, c = 5.0004 Å
α = 90.00°, β = 90.00°, γ = 90.00°
With the nearest neighbours (Å) after each atom.
Space group Cmmm (No. 65)
Asymmetric unit:
Hf  0.0000  0.0000  0.0000  2 Sn 2.82, 4 Hf 3.04
Hf  0.0000  0.2874  0.5000  2 Sn 2.79, 1 Tl 3.00
Hf  0.1758  0.3866  0.0000  2 Hf 2.80-3.04, 2 Sn 2.86-2.99
Tl  0.0000  0.5000  0.5000  10 Hf 3.00-3.28
Sn  0.0000  0.1996  0.0000  7 Hf 2.79-2.99



(8)
Entry from the Alexandria database: an optimized crystal structure of Hf12TlSn3 (GGA-PBE).

Properties
Total magnetization: 0.00 μB per formula unit
Energy of formation from the pure elements: -157 meV per atom
Fermi-level density of states: 16.79 states/eV/f.u.
Raw total energy: -0.3131 hartree per atom

a = 5.5891 Å, b = 5.5923 Å, c = 11.1815 Å
α = 90.00°, β = 90.00°, γ = 90.00°
With the nearest neighbours (Å) after each atom.
Space group Pmmm (No. 47)
Asymmetric unit:
Hf  0.0000  0.0000  0.1244  2 Hf 2.78-2.80
Hf  0.0000  0.0000  0.3745  2 Hf 2.80-2.81, 4 Sn 3.12-3.13
Hf  0.2499  0.5000  0.2512  2 Hf 2.79-2.80, 3 Sn 3.11-3.13
Hf  0.5000  0.2497  0.0000  2 Hf 2.79-2.80, 2 Tl 3.13
Hf  0.5000  0.2497  0.5000  2 Hf 2.79-2.80, 4 Sn 3.12-3.13
Tl  0.0000  0.5000  0.0000  12 Hf 3.12-3.14
Sn  0.0000  0.5000  0.5000  12 Hf 3.11-3.13
Sn  0.5000  0.0000  0.2506  12 Hf 3.12-3.13



(9)
Entry from the Alexandria database: an optimized crystal structure of Hf3TlSn (GGA-PBE).

Properties
Total magnetization: 0.00 μB per formula unit
Energy of formation from the pure elements: 965 meV per atom
Fermi-level density of states: 6.22 states/eV/f.u.
Raw total energy: -0.2308 hartree per atom

a = 5.2446 Å, b = 5.2446 Å, c = 5.2446 Å
α = 90.00°, β = 90.00°, γ = 90.00°
With the nearest neighbours (Å) after each atom.
Space group Pm-3m (No. 221)
Asymmetric unit:
Hf  0.0000  0.0000  0.5000  2 Sn 2.62
Tl  0.5000  0.5000  0.5000  12 Hf 3.71
Sn  0.0000  0.0000  0.0000  6 Hf 2.62



(10)
Entry from the Alexandria database: an optimized crystal structure of HfTlVSn2 (GGA-PBE).

Properties
Total magnetization: 0.00 μB per formula unit
Energy of formation from the pure elements: 365 meV per atom
Fermi-level density of states: 3.53 states/eV/f.u.
Raw total energy: -0.2030 hartree per atom

a = 5.2047 Å, b = 5.2047 Å, c = 4.8691 Å
α = 90.00°, β = 90.00°, γ = 90.00°
With the nearest neighbours (Å) after each atom.
Space group P4/mmm (No. 123)
Asymmetric unit:
Hf  0.0000  0.0000  0.0000  2 V 2.43
Tl  0.5000  0.5000  0.0000  8 Sn 3.56, 4 Hf 3.68
V  0.0000  0.0000  0.5000  2 Hf 2.43, 4 Sn 2.60
Sn  0.0000  0.5000  0.5000  2 V 2.60



(11)
Entry from the Alexandria database: an optimized crystal structure of Hf2ZrTlSn (GGA-PBE).

Properties
Total magnetization: 0.00 μB per formula unit
Energy of formation from the pure elements: 1056 meV per atom
Fermi-level density of states: 8.29 states/eV/f.u.
Raw total energy: -0.2172 hartree per atom

a = 5.2465 Å, b = 5.2465 Å, c = 5.3272 Å
α = 90.00°, β = 90.00°, γ = 90.00°
With the nearest neighbours (Å) after each atom.
Space group P4/mmm (No. 123)
Asymmetric unit:
Hf  0.0000  0.5000  0.0000  2 Tl 2.62
Zr  0.0000  0.0000  0.5000  2 Tl 2.66
Tl  0.0000  0.0000  0.0000  4 Hf 2.62, 2 Zr 2.66
Sn  0.5000  0.5000  0.5000  4 Zr 3.71, 8 Hf 3.74



(12)
Entry from the Alexandria database: an optimized crystal structure of TmHfSn (GGA-PBE).

Properties
Total magnetization: 0.00 μB per formula unit
Energy of formation from the pure elements: -114 meV per atom
Fermi-level density of states: 3.62 states/eV/f.u.
Raw total energy: -0.2299 hartree per atom

a = 5.0117 Å, b = 5.0117 Å, c = 3.4498 Å
α = 90.00°, β = 90.00°, γ = 120.00°
With the nearest neighbours (Å) after each atom.
Space group P3m1 (No. 156)
Asymmetric unit:
Tm  0.0000  0.0000  0.0000  3 Sn 3.17, 6 Hf 3.30-3.44, 2 Tm 3.45
Hf  0.3333  0.6667  0.4607  3 Sn 2.95
Sn  0.6667  0.3333  0.6225  3 Hf 2.95, 3 Tm 3.17



(13)
Entry from the Alexandria database: an optimized crystal structure of Tm2HfSn (GGA-PBE).

Properties
Total magnetization: 0.00 μB per formula unit
Energy of formation from the pure elements: -245 meV per atom
Fermi-level density of states: 2.91 states/eV/f.u.
Raw total energy: -0.2194 hartree per atom

a = 3.3074 Å, b = 3.3074 Å, c = 9.4016 Å
α = 90.00°, β = 90.00°, γ = 90.00°
With the nearest neighbours (Å) after each atom.
Space group P4/mmm (No. 123)
Asymmetric unit:
Tm  0.0000  0.0000  0.2497  4 Tm 3.31, 4 Hf 3.31, 4 Sn 3.32
Hf  0.5000  0.5000  0.0000  4 Hf 3.31, 8 Tm 3.31
Sn  0.5000  0.5000  0.5000  4 Sn 3.31, 8 Tm 3.32